The following is a GGA-PBEsol calculation of an optimized crystal structure of NaMg3Pt, from the Alexandria database.

abc: 5.0491 5.0491 5.0491
angles: 90.00 90.00 90.00
With the nearest neighbours (Å) after each atom.
Fractional positions:
Na1 0.5000 0.5000 0.5000  12 Mg 3.57
Pt1 0.0000 0.0000 0.0000  6 Mg 2.52
Mg1 0.5000 0.0000 0.0000  2 Pt 2.52
Mg2 0.0000 0.0000 0.5000  2 Pt 2.52
Mg3 0.0000 0.5000 0.0000  2 Pt 2.52

## Properties
energy above the lowest structure with this stoichiometry: 0 meV per atom
M_tot: 0.00 μB per formula unit
formation energy: -0.2707 eV/atom
V: 128.7 Å³/cell



The following is a GGA-PBEsol calculation of an optimized crystal structure of Os3Pb, from the Alexandria database.

abc: 2.8199 2.8199 9.7930
angles: 90.00 90.00 119.85
With the nearest neighbours (Å) after each atom.
Fractional positions:
Os1 0.5000 0.5000 0.0000  10 Os 2.60-2.83
Pb1 0.5000 0.5000 0.5000  6 Pb 2.82-2.83, 4 Os 3.06
Os2 0.0000 0.0000 0.7776  8 Os 2.60-2.83
Os3 0.0000 0.0000 0.2224  8 Os 2.60-2.83

## Properties
M_tot: 0.00 μB per formula unit
formation energy: 1.1740 eV/atom
V: 67.5 Å³/cell



The following is a GGA-PBEsol calculation of an optimized crystal structure of KCd2Te, from the Alexandria database.

abc: 4.4868 5.8913 5.8913
angles: 64.02 67.62 67.62
With the nearest neighbours (Å) after each atom.
Fractional positions:
Te1 0.7034 0.7966 0.7966  2 Cd 2.90
Cd1 0.9984 0.0016 0.0016  2 Cd 2.87, 2 Te 2.90
Cd2 0.2976 0.2024 0.2024  2 Cd 2.87
K1 0.5006 0.4994 0.4994  8 Cd 3.47-3.84, 4 Te 3.47-3.61

## Properties
formation energy (no corrections): -193 meV/atom
M_tot: 0.00 μB per formula unit
V: 125.1 Å³/cell



The following is a GGA-PBEsol calculation of an optimized crystal structure of Ni3Ir, from the Alexandria database.

abc: 2.5944 2.5944 6.7752
angles: 90.00 90.00 90.00
With the nearest neighbours (Å) after each atom.
Fractional positions:
Ni1 0.5000 0.5000 0.7387  8 Ni 2.45-2.59, 4 Ir 2.55
Ni2 0.5000 0.5000 0.2613  8 Ni 2.45-2.59, 4 Ir 2.55
Ni3 0.0000 0.0000 0.5000  12 Ni 2.45-2.59
Ir1 0.0000 0.0000 0.0000  8 Ni 2.55, 4 Ir 2.59

## Properties
M_tot: 0.99 μB per formula unit
formation energy: 0.0554 eV/atom
V: 45.6 Å³/cell



The following is a GGA-PBEsol calculation of an optimized crystal structure of MgBeRh2, from the Alexandria database.

abc: 2.8744 2.8744 6.0789
angles: 90.00 90.00 90.00
With the nearest neighbours (Å) after each atom.
Fractional positions:
Be1 0.5000 0.5000 0.0000  8 Rh 2.42
Rh1 0.0000 0.0000 0.7841  4 Be 2.42, 1 Rh 2.63, 4 Mg 2.67
Rh2 0.0000 0.0000 0.2159  4 Be 2.42, 1 Rh 2.63, 4 Mg 2.67
Mg1 0.5000 0.5000 0.5000  8 Rh 2.67, 4 Mg 2.87

## Properties
energy above the lowest structure with this stoichiometry: 0 meV per atom
M_tot: 0.00 μB per formula unit
formation energy: -0.4442 eV/atom
V: 50.2 Å³/cell



The following is a GGA-PBEsol calculation of an optimized crystal structure of TbMgB5O10, from the Alexandria database.

abc: 7.5854 8.5184 9.3694
angles: 86.31 90.00 90.00
With the nearest neighbours (Å) after each atom.
Fractional positions:
B1 0.6010 0.1601 0.9943  3 O 1.35-1.40
Tb1 0.1864 0.8157 0.2386  7 O 2.27-2.53
B2 0.8106 0.4355 0.0890  3 O 1.37-1.38
O1 0.6065 0.3227 0.5832  2 B 1.47-1.49
O2 0.9726 0.0850 0.1483  2 B 1.49
B3 0.3106 0.0645 0.4110  3 O 1.37-1.38
B4 0.6894 0.9355 0.5890  3 O 1.37-1.38
O3 0.2704 0.9548 0.0207  2 B 1.40-1.46
B5 0.3270 0.5184 0.3954  4 O 1.46-1.49
Tb2 0.6864 0.6843 0.2614  7 O 2.27-2.53
O4 0.3498 0.8196 0.6341  2 B 1.46-1.47
O5 0.0274 0.9150 0.8517  2 B 1.49
Tb3 0.8136 0.1843 0.7614  7 O 2.27-2.53
O6 0.7908 0.4632 0.7305  2 B 1.47-1.48
O7 0.1279 0.6813 0.9913  2 B 1.37-1.50
O8 0.8498 0.6804 0.8659  2 B 1.46-1.47
O9 0.0340 0.3138 0.3733  2 B 1.37-1.49
B6 0.8270 0.9816 0.1046  4 O 1.46-1.49
O10 0.6490 0.5065 0.0739  1 B 1.37
O11 0.3935 0.6773 0.4168  2 B 1.47-1.49
O12 0.0904 0.5086 0.8021  2 B 1.38-1.46
O13 0.8935 0.8227 0.0832  2 B 1.47-1.49
Mg1 0.9082 0.0995 0.3716  5 O 2.05-2.16
B7 0.1730 0.0184 0.8954  4 O 1.46-1.49
O14 0.8721 0.3187 0.0087  2 B 1.37-1.50
Mg2 0.4082 0.4005 0.1284  5 O 2.05-2.16
B8 0.5313 0.2764 0.4457  4 O 1.46-1.50
Mg3 0.0918 0.9005 0.6284  5 O 2.05-2.16
O15 0.7092 0.9632 0.2305  2 B 1.47-1.48
O16 0.4096 0.0086 0.3021  2 B 1.38-1.46
O17 0.6502 0.1804 0.3659  2 B 1.46-1.47
O18 0.2908 0.0368 0.7695  2 B 1.47-1.48
O19 0.5904 0.9914 0.6979  2 B 1.38-1.46
O20 0.3510 0.4935 0.9261  1 B 1.37
B9 0.5756 0.0834 0.2571  4 O 1.46-1.49
Tb4 0.3136 0.3157 0.7386  7 O 2.27-2.53
O21 0.9096 0.4914 0.1979  2 B 1.38-1.46
B10 0.0313 0.2236 0.0543  4 O 1.46-1.50
B11 0.0756 0.4166 0.2429  4 O 1.46-1.49
O22 0.4660 0.8138 0.8733  2 B 1.37-1.49
B12 0.4244 0.9166 0.7429  4 O 1.46-1.49
O23 0.5513 0.2434 0.8737  1 B 1.35
O24 0.5340 0.1862 0.1267  2 B 1.37-1.49
O25 0.7296 0.0452 0.9793  2 B 1.40-1.46
O26 0.6279 0.8187 0.5087  2 B 1.37-1.50
B13 0.3990 0.8399 0.0057  3 O 1.35-1.40
O27 0.3721 0.1813 0.4913  2 B 1.37-1.50
B14 0.6730 0.4816 0.6046  4 O 1.46-1.49
O28 0.9660 0.6862 0.6267  2 B 1.37-1.49
O29 0.4487 0.7566 0.1263  1 B 1.35
O30 0.9487 0.7434 0.3737  1 B 1.35
O31 0.4726 0.4150 0.3517  2 B 1.49
O32 0.1502 0.3196 0.1341  2 B 1.46-1.47
B15 0.9244 0.5834 0.7571  4 O 1.46-1.49
O33 0.1490 0.9935 0.4261  1 B 1.37
O34 0.2296 0.4548 0.5207  2 B 1.40-1.46
O35 0.8510 0.0065 0.5739  1 B 1.37
Mg4 0.5918 0.5995 0.8716  5 O 2.05-2.16
O36 0.1065 0.1773 0.9168  2 B 1.47-1.49
O37 0.5274 0.5850 0.6483  2 B 1.49
B16 0.1894 0.5645 0.9110  3 O 1.37-1.38
O38 0.7704 0.5452 0.4793  2 B 1.40-1.46
B17 0.1010 0.3399 0.5057  3 O 1.35-1.40
O39 0.0513 0.2566 0.6263  1 B 1.35
B18 0.4687 0.7236 0.5543  4 O 1.46-1.50
O40 0.2092 0.5368 0.2695  2 B 1.47-1.48
B19 0.8990 0.6601 0.4943  3 O 1.35-1.40
B20 0.9687 0.7764 0.9457  4 O 1.46-1.50

## Properties
formation energy (no corrections): -2749 meV/atom
M_tot: 0.00 μB per formula unit
V: 604.2 Å³/cell



The following is a GGA-PBEsol calculation of an optimized crystal structure of Na3Ge, from the Alexandria database.

abc: 5.1459 5.1459 5.1459
angles: 60.00 60.00 60.00
With the nearest neighbours (Å) after each atom.
Fractional positions:
Na1 0.0000 0.0000 0.0000  8 Na 3.15
Na2 0.2500 0.2500 0.2500  4 Ge 3.15, 4 Na 3.15
Ge1 0.5000 0.5000 0.5000  8 Na 3.15
Na3 0.7500 0.7500 0.7500  4 Na 3.15, 4 Ge 3.15

## Properties
M_tot: 0.00 μB per formula unit
formation energy: 0.0091 eV/atom
V: 96.4 Å³/cell



The following is a GGA-PBEsol calculation of an optimized crystal structure of Li3ClF, from the Alexandria database.

abc: 4.1732 4.1732 4.1732
angles: 90.00 90.00 90.00
With the nearest neighbours (Å) after each atom.
Fractional positions:
Li1 0.0000 0.5000 0.0000  2 F 2.09
F1 0.0000 0.0000 0.0000  6 Li 2.09
Cl1 0.5000 0.5000 0.5000  12 Li 2.95
Li2 0.0000 0.0000 0.5000  2 F 2.09
Li3 0.5000 0.0000 0.0000  2 F 2.09

## Properties
formation energy (no corrections): -1541 meV/atom
M_tot: 0.01 μB per formula unit
V: 72.7 Å³/cell



The following is a GGA-PBEsol calculation of an optimized crystal structure of KSc2Pt, from the Alexandria database.

abc: 3.7017 4.7687 4.7687
angles: 90.00 90.00 90.00
With the nearest neighbours (Å) after each atom.
Fractional positions:
Sc1 0.0000 0.5000 0.0000  4 K 3.02, 4 Pt 3.02, 4 Sc 3.37
Sc2 0.0000 0.0000 0.5000  4 K 3.02, 4 Pt 3.02, 4 Sc 3.37
K1 0.5000 0.5000 0.5000  8 Sc 3.02, 4 Pt 3.37
Pt1 0.5000 0.0000 0.0000  8 Sc 3.02, 4 K 3.37

## Properties
energy above the lowest structure with this stoichiometry: 462 meV per atom
M_tot: 0.00 μB per formula unit
formation energy: 0.1932 eV/atom
V: 84.2 Å³/cell



The following is a GGA-PBEsol calculation of an optimized crystal structure of TmSbRh2, from the Alexandria database.

abc: 4.6037 4.6037 4.6037
angles: 60.00 60.00 60.00
With the nearest neighbours (Å) after each atom.
Fractional positions:
Rh1 0.7500 0.7500 0.7500  4 Tm 2.82, 4 Sb 2.82
Rh2 0.2500 0.2500 0.2500  4 Sb 2.82, 4 Tm 2.82
Tm1 0.5000 0.5000 0.5000  8 Rh 2.82
Sb1 0.0000 0.0000 0.0000  8 Rh 2.82

## Properties
formation energy (no corrections): -761 meV/atom
M_tot: 0.00 μB per formula unit
V: 69.0 Å³/cell